a | {"formula": "V4PtRh3", "functional": "PBE-GGA", "state": "optimized geometry", "cell": [[-4.174, 1.396, 1.532], [-2.384, -3.999, -2.851], [0.737, -5.337, 6.869]], "species": ["V", "V", "V", "V", "V", "V", "V", "V", "Rh", "Rh", "Rh", "Rh", "Rh", "Rh", "Pt", "Pt"], "frac_coords": [[0.500, 0.248, 0.500], [0.849, 0.246, 0.250], [0.151, 0.246, 0.750], [0.849, 0.754, 0.250], [0.500, 0.752, 0.500], [0.151, 0.754, 0.750], [0.500, 0.752, 0.000], [0.500, 0.248, 0.000], [0.638, 0.500, 0.750], [0.362, 0.500, 0.250], [0.000, 0.000, 0.000], [0.000, 0.000, 0.500], [0.363, 0.000, 0.250], [0.637, 0.000, 0.750], [0.000, 0.500, 0.500], [0.000, 0.500, 0.000]]}

b | {"formula": "V4PtRh3", "functional": "PBE-GGA", "state": "optimized geometry", "cell": [[-0.544, -1.942, -1.756], [-2.270, -2.546, 3.519], [-6.112, 6.169, -2.891]], "species": ["Pt", "Rh", "Rh", "Rh", "V", "V", "V", "V"], "frac_coords": [[0.500, 0.000, 0.000], [0.759, 0.759, 0.519], [0.241, 0.241, 0.481], [0.000, 0.500, 0.000], [0.627, 0.871, 0.255], [0.373, 0.129, 0.745], [0.373, 0.617, 0.745], [0.627, 0.383, 0.255]]}

Compare the structures above. Which one is the least stable? b is.